Entry P
VASP calculation (PBE) on an optimized crystal structure of HoCo3P3.

Output
**DOS at the Fermi energy**: 32.6 states/eV/cell
**Total magnetization**: 0.00 μB/cell

Unit cell a=6.3485 b=6.3485 c=19.0091 alpha=90.00 beta=90.00 gamma=120.00
Space group R-3 (No. 148, hexagonal axes)
Inequivalent atoms, fractional coordinates:
1 Ho 0.0000 0.0000 0.1668 (multiplicity 6)
2 Co 0.0047 0.6576 0.3766 (multiplicity 18)
3 P 0.0038 0.6872 0.5941 (multiplicity 18)



Entry Q
VASP calculation (PBE) on an optimized crystal structure of HoCo3P3.

Output
**DOS at the Fermi energy**: 11.7 states/eV/cell
**Total magnetization**: 0.00 μB/cell

Unit cell a=6.036 b=6.036 c=6.036 alpha=90.00 beta=90.00 gamma=90.00
Space group Pm-3n (No. 223)
Inequivalent atoms, fractional coordinates:
1 Ho 0.000 0.000 0.000 (multiplicity 2)
2 Co 0.000 0.250 0.500 (multiplicity 6)
3 P 0.000 0.500 0.250 (multiplicity 6)



entry P wins, 211 meV/atom ahead of the next structure.



Entry P
VASP calculation (PBE) on an optimized crystal structure of HoCo5P3.

Output
**DOS at the Fermi energy**: 29.1 states/eV/cell
**Total magnetization**: 0.00 μB/cell

Unit cell a=3.577 b=11.332 c=11.290 alpha=90.00 beta=90.00 gamma=90.00
Space group Cmcm (No. 63)
Inequivalent atoms, fractional coordinates:
1 Ho 0.000 0.157 0.250 (multiplicity 4)
2 Co 0.000 0.000 0.000 (multiplicity 4)
3 Co 0.000 0.200 0.571 (multiplicity 8)
4 Co 0.000 0.446 0.143 (multiplicity 8)
5 P 0.000 0.111 0.750 (multiplicity 4)
6 P 0.000 0.383 0.541 (multiplicity 8)



Entry Q
VASP calculation (PBE) on an optimized crystal structure of HoCo5P3.

Output
**DOS at the Fermi energy**: 23.5 states/eV/cell
**Total magnetization**: 4.90 μB/cell

Unit cell a=11.711 b=3.638 c=10.270 alpha=90.00 beta=90.00 gamma=90.00
Space group Pnma (No. 62)
Inequivalent atoms, fractional coordinates:
1 Ho 0.203 0.250 0.083 (multiplicity 4)
2 Co 0.008 0.750 0.717 (multiplicity 4)
3 Co 0.012 0.750 0.093 (multiplicity 4)
4 Co 0.068 0.750 0.468 (multiplicity 4)
5 Co 0.176 0.250 0.779 (multiplicity 4)
6 Co 0.199 0.250 0.383 (multiplicity 4)
7 P 0.109 0.750 0.898 (multiplicity 4)
8 P 0.112 0.250 0.582 (multiplicity 4)
9 P 0.130 0.750 0.271 (multiplicity 4)



entry Q wins, 77 meV/atom ahead of the next structure.



Entry P
VASP calculation (PBE) on an optimized crystal structure of HoPaCo3.

Output
**DOS at the Fermi energy**: 18.1 states/eV/cell
**Total magnetization**: 1.06 μB/cell

Unit cell a=3.789 b=22.750 c=4.010 alpha=90.00 beta=90.00 gamma=90.00
Space group Cmcm (No. 63)
Inequivalent atoms, fractional coordinates:
1 Ho 0.000 0.070 0.250 (multiplicity 4)
2 Pa 0.000 0.200 0.750 (multiplicity 4)
3 Co 0.000 0.312 0.750 (multiplicity 4)
4 Co 0.000 0.375 0.250 (multiplicity 4)
5 Co 0.000 0.476 0.250 (multiplicity 4)



Entry Q
VASP calculation (PBE) on an optimized crystal structure of HoPaCo3.

Output
**DOS at the Fermi energy**: 10.9 states/eV/cell
**Total magnetization**: 0.00 μB/cell

Unit cell a=8.137 b=5.441 c=3.916 alpha=90.00 beta=99.26 gamma=90.00
Space group Cm (No. 8)
Inequivalent atoms, fractional coordinates:
1 Ho 0.000 0.000 0.000 (multiplicity 2)
2 Pa 0.094 0.500 0.592 (multiplicity 2)
3 Co 0.290 0.250 0.374 (multiplicity 4)
4 Co 0.360 0.000 0.889 (multiplicity 2)



entry P wins, 48 meV/atom ahead of the next structure.



Entry P
VASP calculation (PBE) on an optimized crystal structure of HoPaCo.

Output
**DOS at the Fermi energy**: 27.3 states/eV/cell
**Total magnetization**: 0.00 μB/cell

Unit cell a=3.8618 b=3.8618 c=33.6456 alpha=90.00 beta=90.00 gamma=120.00
Space group R-3m (No. 166, hexagonal axes)
Inequivalent atoms, fractional coordinates:
1 Ho 0.0000 0.0000 0.1172 (multiplicity 6)
2 Pa 0.0000 0.0000 0.3016 (multiplicity 6)
3 Co 0.0000 0.0000 0.4023 (multiplicity 6)



Entry Q
VASP calculation (PBE) on an optimized crystal structure of HoPaCo.

Output
**DOS at the Fermi energy**: 4.6 states/eV/cell
**Total magnetization**: 0.00 μB/cell

Unit cell a=4.1870 b=4.1870 c=4.6852 alpha=90.00 beta=90.00 gamma=120.00
Space group P-6m2 (No. 187)
Inequivalent atoms, fractional coordinates:
1 Ho 0.0000 0.0000 0.0000 (multiplicity 1)
2 Pa 0.6667 0.3333 0.5000 (multiplicity 1)
3 Co 0.3333 0.6667 0.5000 (multiplicity 1)



Entry R
VASP calculation (PBE) on an optimized crystal structure of HoPaCo.

Output
**DOS at the Fermi energy**: 7.7 states/eV/cell
**Total magnetization**: 0.00 μB/cell

Unit cell a=3.418 b=3.418 c=11.076 alpha=90.00 beta=90.00 gamma=90.00
Space group I4mm (No. 107)
Inequivalent atoms, fractional coordinates:
1 Ho 0.000 0.000 0.000 (multiplicity 2)
2 Pa 0.000 0.000 0.291 (multiplicity 2)
3 Co 0.000 0.000 0.697 (multiplicity 2)



Entry S
VASP calculation (PBE) on an optimized crystal structure of HoPaCo.

Output
**DOS at the Fermi energy**: 16.4 states/eV/cell
**Total magnetization**: 0.00 μB/cell

Unit cell a=6.616 b=5.782 c=9.113 alpha=90.00 beta=126.36 gamma=90.00
Space group P2_1/c (No. 14)
Inequivalent atoms, fractional coordinates:
1 Ho 0.192 0.135 0.380 (multiplicity 4)
2 Pa 0.338 0.645 0.635 (multiplicity 4)
3 Co 0.334 0.635 0.364 (multiplicity 4)



entry R wins, 38 meV/atom ahead of the next structure.



Entry P
VASP calculation (PBE) on an optimized crystal structure of Ho3CoPb.

Output
**DOS at the Fermi energy**: 4.7 states/eV/cell
**Total magnetization**: 0.00 μB/cell

Unit cell a=5.123 b=5.123 c=5.123 alpha=90.00 beta=90.00 gamma=90.00
Space group Pm-3m (No. 221)
Inequivalent atoms, fractional coordinates:
1 Ho 0.000 0.000 0.500 (multiplicity 3)
2 Co 0.000 0.000 0.000 (multiplicity 1)
3 Pb 0.500 0.500 0.500 (multiplicity 1)



Entry Q
VASP calculation (PBE) on an optimized crystal structure of Ho3CoPb.

Output
**DOS at the Fermi energy**: 10.6 states/eV/cell
**Total magnetization**: 0.00 μB/cell

Unit cell a=7.850 b=4.348 c=8.308 alpha=90.00 beta=114.83 gamma=90.00
Space group P2_1/m (No. 11)
Inequivalent atoms, fractional coordinates:
1 Ho 0.042 0.250 0.244 (multiplicity 2)
2 Ho 0.323 0.750 0.590 (multiplicity 2)
3 Ho 0.326 0.250 0.913 (multiplicity 2)
4 Co 0.063 0.250 0.581 (multiplicity 2)
5 Pb 0.326 0.750 0.201 (multiplicity 2)



entry Q wins, 70 meV/atom ahead of the next structure.



Entry P
VASP calculation (PBE) on an optimized crystal structure of Ho2CoPb.

Output
**DOS at the Fermi energy**: 7.6 states/eV/cell
**Total magnetization**: 0.00 μB/cell

Unit cell a=3.6935 b=3.6935 c=25.6316 alpha=90.00 beta=90.00 gamma=120.00
Space group R-3m (No. 166, hexagonal axes)
Inequivalent atoms, fractional coordinates:
1 Ho 0.0000 0.0000 0.2283 (multiplicity 6)
2 Co 0.0000 0.0000 0.5000 (multiplicity 3)
3 Pb 0.0000 0.0000 0.0000 (multiplicity 3)



Entry Q
VASP calculation (PBE) on an optimized crystal structure of Ho2CoPb.

Output
**DOS at the Fermi energy**: 2.3 states/eV/cell
**Total magnetization**: 0.55 μB/cell

Unit cell a=3.400 b=3.400 c=8.083 alpha=90.00 beta=90.00 gamma=90.00
Space group P4/mmm (No. 123)
Inequivalent atoms, fractional coordinates:
1 Ho 0.000 0.000 0.200 (multiplicity 2)
2 Co 0.500 0.500 0.000 (multiplicity 1)
3 Pb 0.500 0.500 0.500 (multiplicity 1)



entry Q wins, 92 meV/atom ahead of the next structure.



Entry P
VASP calculation (PBE) on an optimized crystal structure of Ho4CoPb.

Output
**DOS at the Fermi energy**: 20.4 states/eV/cell
**Total magnetization**: 1.37 μB/cell

Unit cell a=16.248 b=7.121 c=5.841 alpha=90.00 beta=110.99 gamma=90.00
Space group C2/m (No. 12)
Inequivalent atoms, fractional coordinates:
1 Ho 0.000 0.214 0.000 (multiplicity 4)
2 Ho 0.115 0.257 0.614 (multiplicity 8)
3 Ho 0.176 0.500 0.175 (multiplicity 4)
4 Co 0.000 0.500 0.266 (multiplicity 4)
5 Pb 0.196 0.000 0.196 (multiplicity 4)



Entry Q
VASP calculation (PBE) on an optimized crystal structure of Ho4CoPb.

Output
**DOS at the Fermi energy**: 21.2 states/eV/cell
**Total magnetization**: 0.00 μB/cell

Unit cell a=8.760 b=13.103 c=5.972 alpha=90.00 beta=109.69 gamma=90.00
Space group C2/c (No. 15)
Inequivalent atoms, fractional coordinates:
1 Ho 0.108 0.161 0.054 (multiplicity 8)
2 Ho 0.219 0.424 0.371 (multiplicity 8)
3 Co 0.000 0.000 0.250 (multiplicity 4)
4 Pb 0.000 0.372 0.750 (multiplicity 4)



entry P wins, 16 meV/atom ahead of the next structure.



Entry P
VASP calculation (PBE) on an optimized crystal structure of Ho7Co2Pd2.

Output
**DOS at the Fermi energy**: 17.6 states/eV/cell
**Total magnetization**: 0.00 μB/cell

Unit cell a=7.590 b=10.598 c=6.722 alpha=90.00 beta=90.00 gamma=90.00
Space group Cmmm (No. 65)
Inequivalent atoms, fractional coordinates:
1 Ho 0.000 0.000 0.000 (multiplicity 2)
2 Ho 0.000 0.500 0.248 (multiplicity 4)
3 Ho 0.250 0.250 0.255 (multiplicity 8)
4 Co 0.000 0.291 0.000 (multiplicity 4)
5 Pd 0.187 0.000 0.500 (multiplicity 4)



Entry Q
VASP calculation (PBE) on an optimized crystal structure of Ho7Co2Pd2.

Output
**DOS at the Fermi energy**: 21.8 states/eV/cell
**Total magnetization**: 0.00 μB/cell

Unit cell a=3.719 b=15.089 c=9.284 alpha=90.00 beta=90.00 gamma=90.00
Space group Imm2 (No. 44)
Inequivalent atoms, fractional coordinates:
1 Ho 0.000 0.000 0.000 (multiplicity 2)
2 Ho 0.000 0.119 0.596 (multiplicity 4)
3 Ho 0.000 0.310 0.393 (multiplicity 4)
4 Ho 0.000 0.363 0.750 (multiplicity 4)
5 Co 0.000 0.243 0.097 (multiplicity 4)
6 Pd 0.000 0.000 0.341 (multiplicity 2)
7 Pd 0.000 0.500 0.265 (multiplicity 2)



entry Q wins, 119 meV/atom ahead of the next structure.



Entry P
VASP calculation (PBE) on an optimized crystal structure of Ho3CoPd.

Output
**DOS at the Fermi energy**: 14.7 states/eV/cell
**Total magnetization**: 0.00 μB/cell

Unit cell a=9.946 b=6.099 c=8.300 alpha=90.00 beta=115.63 gamma=90.00
Space group C2/m (No. 12)
Inequivalent atoms, fractional coordinates:
1 Ho 0.014 0.000 0.222 (multiplicity 4)
2 Ho 0.185 0.500 0.854 (multiplicity 4)
3 Ho 0.205 0.500 0.339 (multiplicity 4)
4 Co 0.000 0.313 0.000 (multiplicity 4)
5 Pd 0.000 0.271 0.500 (multiplicity 4)



Entry Q
VASP calculation (PBE) on an optimized crystal structure of Ho3CoPd.

Output
**DOS at the Fermi energy**: 18.2 states/eV/cell
**Total magnetization**: 0.00 μB/cell

Unit cell a=15.377 b=3.789 c=7.926 alpha=90.00 beta=91.20 gamma=90.00
Space group C2/m (No. 12)
Inequivalent atoms, fractional coordinates:
1 Ho 0.059 0.000 0.312 (multiplicity 4)
2 Ho 0.104 0.500 0.950 (multiplicity 4)
3 Ho 0.240 0.000 0.693 (multiplicity 4)
4 Co 0.214 0.000 0.065 (multiplicity 4)
5 Pd 0.095 0.500 0.576 (multiplicity 4)



entry Q wins, 11 meV/atom ahead of the next structure.



Entry P
VASP calculation (PBE) on an optimized crystal structure of HoThCoPd.

Output
**DOS at the Fermi energy**: 15.6 states/eV/cell
**Total magnetization**: 1.68 μB/cell

Unit cell a=6.997 b=6.997 c=6.997 alpha=90.00 beta=90.00 gamma=90.00
Space group F-43m (No. 216)
Inequivalent atoms, fractional coordinates:
1 Ho 0.000 0.000 0.000 (multiplicity 4)
2 Th 0.000 0.000 0.500 (multiplicity 4)
3 Co 0.250 0.250 0.750 (multiplicity 4)
4 Pd 0.250 0.250 0.250 (multiplicity 4)



Entry Q
VASP calculation (PBE) on an optimized crystal structure of HoThCoPd.

Output
**DOS at the Fermi energy**: 5.5 states/eV/cell
**Total magnetization**: 0.00 μB/cell

Unit cell a=3.992 b=3.790 c=11.441 alpha=90.00 beta=90.00 gamma=90.00
Space group Amm2 (No. 38)
Inequivalent atoms, fractional coordinates:
1 Ho 0.000 0.000 0.000 (multiplicity 2)
2 Th 0.500 0.000 0.720 (multiplicity 2)
3 Co 0.000 0.000 0.253 (multiplicity 2)
4 Pd 0.500 0.000 0.434 (multiplicity 2)



entry Q wins, 165 meV/atom ahead of the next structure.